This record from Alexandria via LeMat-Bulk describes a relaxed KCd2Ni crystal. The functional is PBE.

abc: 7.193 7.193 7.193
angles: 90.00 90.00 90.00
Sites, in units of the cell vectors:
K 0.000 0.000 0.000
K 0.000 0.500 0.500
K 0.500 0.000 0.500
K 0.500 0.500 0.000
Cd 0.000 0.000 0.500
Cd 0.000 0.500 0.000
Cd 0.250 0.250 0.250
Cd 0.250 0.750 0.750
Cd 0.500 0.000 0.000
Cd 0.500 0.500 0.500
Cd 0.750 0.250 0.750
Cd 0.750 0.750 0.250
Ni 0.250 0.250 0.750
Ni 0.250 0.750 0.250
Ni 0.750 0.250 0.250
Ni 0.750 0.750 0.750

DFT formation energy = 0.43 eV per atom
energy above the most stable polymorph in this dataset = 327.7 meV/atom
space group = F-43m (216)
total DFT energy (no corrections) = -0.1284 Ry/atom